Entry 1:
Crystalline AgTeCl3 at its relaxed geometry. Source: the Alexandria database, functional GGA-PBE.

Summary:
Its energy above the lowest structure with this stoichiometry is 2.10 eV/f.u.

a = 5.4208 Å, b = 5.4208 Å, c = 5.4208 Å
α = 90.00°, β = 90.00°, γ = 90.00°
Positions (direct):
Ag: 0.0000 0.0000 0.0000
Te: 0.5000 0.5000 0.5000
Cl: 0.0000 0.5000 0.5000
Cl: 0.5000 0.0000 0.5000
Cl: 0.5000 0.5000 0.0000

=====

Entry 2:
Crystalline Ag12Te3Cl5 at its relaxed geometry. Source: the Alexandria database, functional GGA-PBE.

a = 14.0123 Å, b = 14.0123 Å, c = 14.0123 Å
α = 109.47°, β = 109.47°, γ = 109.47°
Positions (direct):
Ag: 0.0660 0.2315 0.1453
Ag: 0.0660 0.3345 0.9207
Ag: 0.0793 0.6453 0.4138
Ag: 0.0793 0.9340 0.6655
Ag: 0.0862 0.7315 0.6655
Ag: 0.0862 0.8547 0.4207
Ag: 0.1453 0.0660 0.2315
Ag: 0.1453 0.5793 0.9138
Ag: 0.1655 0.2315 0.5862
Ag: 0.1655 0.4340 0.5793
Ag: 0.2315 0.1453 0.0660
Ag: 0.2315 0.5862 0.1655
Ag: 0.2685 0.3345 0.9138
Ag: 0.2685 0.4340 0.3547
Ag: 0.3345 0.9138 0.2685
Ag: 0.3345 0.9207 0.0660
Ag: 0.3547 0.2685 0.4340
Ag: 0.3547 0.5862 0.9207
Ag: 0.4138 0.0793 0.6453
Ag: 0.4138 0.8345 0.7685
Ag: 0.4207 0.0862 0.8547
Ag: 0.4207 0.8345 0.5660
Ag: 0.4340 0.3547 0.2685
Ag: 0.4340 0.5793 0.1655
Ag: 0.5660 0.4207 0.8345
Ag: 0.5660 0.6453 0.7315
Ag: 0.5793 0.1655 0.4340
Ag: 0.5793 0.9138 0.1453
Ag: 0.5862 0.1655 0.2315
Ag: 0.5862 0.9207 0.3547
Ag: 0.6453 0.4138 0.0793
Ag: 0.6453 0.7315 0.5660
Ag: 0.6655 0.0793 0.9340
Ag: 0.6655 0.0862 0.7315
Ag: 0.7315 0.5660 0.6453
Ag: 0.7315 0.6655 0.0862
Ag: 0.7685 0.4138 0.8345
Ag: 0.7685 0.8547 0.9340
Ag: 0.8345 0.5660 0.4207
Ag: 0.8345 0.7685 0.4138
Ag: 0.8547 0.4207 0.0862
Ag: 0.8547 0.9340 0.7685
Ag: 0.9138 0.1453 0.5793
Ag: 0.9138 0.2685 0.3345
Ag: 0.9207 0.0660 0.3345
Ag: 0.9207 0.3547 0.5862
Ag: 0.9340 0.6655 0.0793
Ag: 0.9340 0.7685 0.8547
Te: 0.1250 0.2500 0.3750
Te: 0.1250 0.3750 0.7500
Te: 0.2500 0.3750 0.1250
Te: 0.2500 0.8750 0.6250
Te: 0.3750 0.1250 0.2500
Te: 0.3750 0.7500 0.1250
Te: 0.6250 0.2500 0.8750
Te: 0.6250 0.8750 0.7500
Te: 0.7500 0.1250 0.3750
Te: 0.7500 0.6250 0.8750
Te: 0.8750 0.6250 0.2500
Te: 0.8750 0.7500 0.6250
Cl: 0.0000 0.0000 0.0000
Cl: 0.0000 0.0000 0.5000
Cl: 0.0000 0.5000 0.0000
Cl: 0.0000 0.5000 0.5000
Cl: 0.1250 0.7500 0.8750
Cl: 0.1250 0.8750 0.2500
Cl: 0.2500 0.1250 0.8750
Cl: 0.2500 0.6250 0.3750
Cl: 0.3750 0.2500 0.6250
Cl: 0.3750 0.6250 0.7500
Cl: 0.5000 0.0000 0.0000
Cl: 0.5000 0.0000 0.5000
Cl: 0.5000 0.5000 0.0000
Cl: 0.5000 0.5000 0.5000
Cl: 0.6250 0.3750 0.2500
Cl: 0.6250 0.7500 0.3750
Cl: 0.7500 0.3750 0.6250
Cl: 0.7500 0.8750 0.1250
Cl: 0.8750 0.1250 0.7500
Cl: 0.8750 0.2500 0.1250

=====

Entry 3:
Crystalline Ag2TeCl8 at its relaxed geometry. Source: the Alexandria database, functional GGA-PBE.

a = 8.2261 Å, b = 8.2261 Å, c = 6.6958 Å
α = 93.56°, β = 93.56°, γ = 54.46°
Positions (direct):
Ag: 0.1834 0.1834 0.4281
Ag: 0.8166 0.8166 0.5719
Te: 0.0000 0.0000 0.0000
Cl: 0.1365 0.1365 0.8012
Cl: 0.1572 0.6977 0.7762
Cl: 0.3023 0.8428 0.2238
Cl: 0.3462 0.3462 0.4884
Cl: 0.6538 0.6538 0.5116
Cl: 0.6977 0.1572 0.7762
Cl: 0.8428 0.3023 0.2238
Cl: 0.8635 0.8635 0.1988

=====

Quick rundown of DFT total energy, same order as above: -2.330 -2.803 -2.485 eV per atom
Quick rundown of energy relative to the elements, uncorrected, same order as above: -23 -159 -338 meV per atom